Density functional theory data (PBE-GGA) for an optimized crystal structure of AsPIr2.

Properties
The value obtained for the size of the total moment is 0.000 μB per atom. Its formation energy is -4.5 kJ/mol of formula units.

Unit cell a=7.985 b=7.985 c=7.985 alpha=21.33 beta=21.33 gamma=21.33
Atoms (fractional coordinates):
As1 0.000 0.000 0.000
P1 0.500 0.500 0.500
Ir1 0.242 0.242 0.242
Ir2 0.758 0.758 0.758



Density functional theory data (PBE-GGA) for an optimized crystal structure of AsPIr2.

Properties
The value obtained for the size of the total moment is 0.000 μB per atom. Its formation energy is 117.8 kJ/mol of formula units.

Unit cell a=5.080 b=5.080 c=5.080 alpha=137.55 beta=137.55 gamma=61.59
Atoms (fractional coordinates):
As1 0.000 0.000 0.000
P1 0.750 0.250 0.500
Ir1 0.250 0.750 0.500
Ir2 0.500 0.500 0.000



Density functional theory data (PBE-GGA) for an optimized crystal structure of AsP3Ir.

Properties
The value obtained for the size of the total moment is 0.000 μB per atom. Its formation energy is 384.4 kJ/mol of formula units.

Unit cell a=4.622 b=4.622 c=4.622 alpha=90.00 beta=90.00 gamma=90.00
Atoms (fractional coordinates):
As1 0.000 0.000 0.000
P1 0.000 0.500 0.500
P2 0.500 0.000 0.500
P3 0.500 0.500 0.000
Ir1 0.500 0.500 0.500



Density functional theory data (PBE-GGA) for an optimized crystal structure of AsPIr2.

Properties
The value obtained for the size of the total moment is 0.000 μB per atom. Its formation energy is 14.8 kJ/mol of formula units.

Unit cell a=4.161 b=4.161 c=5.226 alpha=101.95 beta=101.95 gamma=42.02
Atoms (fractional coordinates):
As1 0.000 0.000 0.000
P1 0.500 0.500 0.500
Ir1 0.244 0.244 0.731
Ir2 0.756 0.756 0.269



Density functional theory data (PBE-GGA) for an optimized crystal structure of AsPIr.

Properties
The value obtained for the size of the total moment is 0.000 μB per atom. Its formation energy is 69.4 kJ/mol of formula units.

Unit cell a=8.088 b=7.831 c=2.822 alpha=84.98 beta=74.68 gamma=20.34
Atoms (fractional coordinates):
As1 0.000 0.000 0.000
P1 0.721 0.721 0.279
Ir1 0.348 0.348 0.652



Density functional theory data (PBE-GGA) for an optimized crystal structure of AsPIr2.

Properties
The value obtained for the size of the total moment is 0.000 μB per atom. Its formation energy is 130.4 kJ/mol of formula units.

Unit cell a=5.173 b=5.173 c=5.173 alpha=148.19 beta=122.88 gamma=66.88
Atoms (fractional coordinates):
As1 0.000 0.000 0.000
P1 0.500 0.500 0.000
Ir1 0.274 0.774 0.500
Ir2 0.726 0.226 0.500



Density functional theory data (PBE-GGA) for an optimized crystal structure of AsPIr2.

Properties
The value obtained for the size of the total moment is 0.000 μB per atom. Its formation energy is -17.1 kJ/mol of formula units.

Unit cell a=2.915 b=2.915 c=8.062 alpha=90.00 beta=90.00 gamma=90.00
Atoms (fractional coordinates):
As1 0.000 0.000 0.000
P1 0.500 0.500 0.612
Ir1 0.000 0.000 0.452
Ir2 0.500 0.500 0.184



Density functional theory data (PBE-GGA) for an optimized crystal structure of Pa4As2PIr.

Properties
The value obtained for the size of the total moment is 0.000 μB per atom. Its formation energy is -780.8 kJ/mol of formula units.

Unit cell a=7.073 b=3.952 c=7.107 alpha=90.00 beta=108.68 gamma=90.00
Atoms (fractional coordinates):
Pa1 0.241 0.000 0.233
Pa2 0.255 0.500 0.764
Pa3 0.745 0.500 0.236
Pa4 0.759 0.000 0.767
As1 0.000 0.000 0.500
As2 0.500 0.500 0.500
P1 0.500 0.000 0.000
Ir1 0.000 0.500 0.000



Density functional theory data (PBE-GGA) for an optimized crystal structure of Pa2AsPIr6.

Properties
The value obtained for the size of the total moment is 0.000 μB per atom. Its formation energy is -521.9 kJ/mol of formula units.

Unit cell a=5.474 b=8.310 c=8.150 alpha=90.00 beta=90.00 gamma=90.00
Atoms (fractional coordinates):
Pa1 0.250 0.010 0.236
Pa2 0.250 0.490 0.236
Pa3 0.750 0.510 0.764
Pa4 0.750 0.990 0.764
As1 0.250 0.250 0.775
As2 0.750 0.750 0.225
P1 0.250 0.750 0.751
P2 0.750 0.250 0.249
Ir1 0.001 0.750 0.978
Ir2 0.002 0.250 0.495
Ir3 0.250 0.000 0.614
Ir4 0.250 0.500 0.614
Ir5 0.498 0.250 0.495
Ir6 0.499 0.750 0.978
Ir7 0.501 0.250 0.022
Ir8 0.502 0.750 0.505
Ir9 0.750 0.000 0.386
Ir10 0.750 0.500 0.386
Ir11 0.998 0.750 0.505
Ir12 0.999 0.250 0.022



Density functional theory data (PBE-GGA) for an optimized crystal structure of AsPIr2Pd.

Properties
The value obtained for the size of the total moment is 0.000 μB per atom. Its formation energy is 342.7 kJ/mol of formula units.

Unit cell a=4.361 b=4.361 c=4.795 alpha=90.00 beta=90.00 gamma=90.00
Atoms (fractional coordinates):
As1 0.000 0.000 0.000
P1 0.000 0.000 0.500
Ir1 0.000 0.500 0.500
Ir2 0.500 0.000 0.500
Pd1 0.500 0.500 0.000



Density functional theory data (PBE-GGA) for an optimized crystal structure of Pm2AsP3Ir4.

Properties
The value obtained for the size of the total moment is 0.000 μB per atom. Its formation energy is -874.3 kJ/mol of formula units.

Unit cell a=4.176 b=4.176 c=9.823 alpha=90.00 beta=90.00 gamma=90.00
Atoms (fractional coordinates):
Pm1 0.000 0.500 0.249
Pm2 0.500 0.000 0.751
As1 0.500 0.500 0.000
P1 0.000 0.000 0.000
P2 0.000 0.500 0.638
P3 0.500 0.000 0.362
Ir1 0.000 0.000 0.500
Ir2 0.000 0.500 0.875
Ir3 0.500 0.000 0.125
Ir4 0.500 0.500 0.500



Density functional theory data (PBE-GGA) for an optimized crystal structure of Pr2AsP3Ir4.

Properties
The value obtained for the size of the total moment is 0.000 μB per atom. Its formation energy is -864.8 kJ/mol of formula units.

Unit cell a=4.207 b=4.207 c=9.834 alpha=90.00 beta=90.00 gamma=90.00
Atoms (fractional coordinates):
Pr1 0.000 0.500 0.248
Pr2 0.500 0.000 0.752
As1 0.500 0.500 0.000
P1 0.000 0.000 0.000
P2 0.000 0.500 0.637
P3 0.500 0.000 0.363
Ir1 0.000 0.000 0.500
Ir2 0.000 0.500 0.877
Ir3 0.500 0.000 0.123
Ir4 0.500 0.500 0.500



Density functional theory data (PBE-GGA) for an optimized crystal structure of AsPIrRh2.

Properties
The value obtained for the size of the total moment is 0.172 μB per atom. Its formation energy is 447.9 kJ/mol of formula units.

Unit cell a=4.541 b=4.541 c=4.565 alpha=90.00 beta=90.00 gamma=90.00
Atoms (fractional coordinates):
As1 0.000 0.000 0.000
P1 0.500 0.500 0.500
Ir1 0.000 0.000 0.500
Rh1 0.000 0.500 0.000
Rh2 0.500 0.000 0.000



Density functional theory data (PBE-GGA) for an optimized crystal structure of SbAs2PIr.

Properties
The value obtained for the size of the total moment is 0.000 μB per atom. The calculation puts the uncorrected energy at -4.81 eV/atom.

Unit cell a=4.632 b=4.632 c=5.681 alpha=90.00 beta=90.00 gamma=90.00
Atoms (fractional coordinates):
Sb1 0.000 0.000 0.000
As1 0.000 0.500 0.500
As2 0.500 0.000 0.500
P1 0.500 0.500 0.000
Ir1 0.000 0.000 0.500



Density functional theory data (PBE-GGA) for an optimized crystal structure of Tb3AsP2Ir9.

Properties
The value obtained for the size of the total moment is 0.000 μB per atom. Its formation energy is -562.7 kJ/mol of formula units.

Unit cell a=5.675 b=5.675 c=10.091 alpha=90.00 beta=90.00 gamma=120.00
Atoms (fractional coordinates):
Tb1 0.000 0.000 0.000
Tb2 0.333 0.667 0.583
Tb3 0.667 0.333 0.417
As1 0.000 0.000 0.500
P1 0.333 0.667 0.160
P2 0.667 0.333 0.840
Ir1 0.000 0.500 0.000
Ir2 0.160 0.320 0.308
Ir3 0.160 0.840 0.308
Ir4 0.320 0.160 0.692
Ir5 0.500 0.000 0.000
Ir6 0.500 0.500 0.000
Ir7 0.680 0.840 0.308
Ir8 0.840 0.160 0.692
Ir9 0.840 0.680 0.692



Density functional theory data (PBE-GGA) for an optimized crystal structure of Th4As2PIr.

Properties
The value obtained for the size of the total moment is 0.000 μB per atom. Its formation energy is -989.3 kJ/mol of formula units.

Unit cell a=7.339 b=4.146 c=7.375 alpha=90.00 beta=109.45 gamma=90.00
Atoms (fractional coordinates):
Th1 0.238 0.000 0.232
Th2 0.254 0.500 0.759
Th3 0.746 0.500 0.241
Th4 0.762 0.000 0.768
As1 0.000 0.000 0.500
As2 0.500 0.500 0.500
P1 0.500 0.000 0.000
Ir1 0.000 0.500 0.000



Density functional theory data (PBE-GGA) for an optimized crystal structure of Th2AsPIr6.

Properties
The value obtained for the size of the total moment is 0.000 μB per atom. Its formation energy is -646.0 kJ/mol of formula units.

Unit cell a=5.573 b=8.489 c=8.033 alpha=90.00 beta=90.00 gamma=90.00
Atoms (fractional coordinates):
Th1 0.250 0.004 0.227
Th2 0.250 0.496 0.227
Th3 0.750 0.504 0.773
Th4 0.750 0.996 0.773
As1 0.250 0.750 0.768
As2 0.750 0.250 0.232
P1 0.250 0.250 0.749
P2 0.750 0.750 0.251
Ir1 0.002 0.250 0.981
Ir2 0.003 0.750 0.491
Ir3 0.250 0.501 0.611
Ir4 0.250 0.999 0.611
Ir5 0.497 0.750 0.491
Ir6 0.498 0.250 0.981
Ir7 0.502 0.750 0.019
Ir8 0.503 0.250 0.509
Ir9 0.750 0.001 0.389
Ir10 0.750 0.499 0.389
Ir11 0.997 0.250 0.509
Ir12 0.998 0.750 0.019



Density functional theory data (PBE-GGA) for an optimized crystal structure of Th4AsP2Ir.

Properties
The value obtained for the size of the total moment is 0.000 μB per atom. Its formation energy is -1003.1 kJ/mol of formula units.

Unit cell a=7.283 b=4.122 c=7.301 alpha=90.00 beta=109.35 gamma=90.00
Atoms (fractional coordinates):
Th1 0.243 0.000 0.244
Th2 0.255 0.500 0.761
Th3 0.745 0.500 0.239
Th4 0.757 0.000 0.756
As1 0.500 0.500 0.500
P1 0.000 0.000 0.500
P2 0.000 0.500 0.000
Ir1 0.500 0.000 0.000



Density functional theory data (PBE-GGA) for an optimized crystal structure of Tm3AsP2Ir9.

Properties
The value obtained for the size of the total moment is 0.000 μB per atom. Its formation energy is -521.2 kJ/mol of formula units.

Unit cell a=6.114 b=6.114 c=8.838 alpha=90.00 beta=90.00 gamma=120.00
Atoms (fractional coordinates):
Tm1 0.000 0.000 0.000
Tm2 0.333 0.667 0.719
Tm3 0.667 0.333 0.281
As1 0.000 0.000 0.500
P1 0.333 0.667 0.172
P2 0.667 0.333 0.828
Ir1 0.000 0.500 0.000
Ir2 0.146 0.292 0.278
Ir3 0.146 0.854 0.278
Ir4 0.292 0.146 0.722
Ir5 0.500 0.000 0.000
Ir6 0.500 0.500 0.000
Ir7 0.708 0.854 0.278
Ir8 0.854 0.146 0.722
Ir9 0.854 0.708 0.722



Density functional theory data (PBE-GGA) for an optimized crystal structure of PaAsIr2.

Properties
The value obtained for the size of the total moment is 0.000 μB per atom. Its formation energy is -214.6 kJ/mol of formula units.

Unit cell a=5.494 b=5.494 c=5.494 alpha=44.88 beta=44.88 gamma=44.88
Atoms (fractional coordinates):
Pa1 0.000 0.000 0.000
As1 0.500 0.500 0.500
Ir1 0.220 0.220 0.220
Ir2 0.780 0.780 0.780



Number 1: ρ 13.8 g/cm3. Number 2: ρ 13.8 g/cm3. Number 3: ρ 6.1 g/cm3. Number 4: ρ 13.8 g/cm3. Number 5: ρ 9.4 g/cm3. Number 6: ρ 13.4 g/cm3. Number 7: ρ 11.9 g/cm3. Number 8: ρ 11.4 g/cm3. Number 9: ρ 15.4 g/cm3. Number 10: ρ 10.9 g/cm3. Number 11: ρ 11.9 g/cm3. Number 12: ρ 11.6 g/cm3. Number 13: ρ 8.9 g/cm3. Number 14: ρ 6.7 g/cm3. Number 15: ρ 13.8 g/cm3. Number 16: ρ 10.2 g/cm3. Number 17: ρ 15.1 g/cm3. Number 18: ρ 10.1 g/cm3. Number 19: ρ 13.8 g/cm3. Number 20: ρ 15.3 g/cm3.